{"formula": "HoMg2Cu", "functional": "GGA-PBE", "state": "relaxed", "total_magnetization_mub_per_cell": 0.02, "e_tot_ev_per_atom": -2.999, "crystal_system": "tetragonal", "lattice_angstrom": [[-1.921, 0.230, -2.669], [2.376, -1.371, -1.829], [-2.945, -7.111, 1.507]], "species": ["Mg", "Mg", "Cu", "Ho"], "frac_coords": [[0.000, 0.000, 0.808], [0.000, 0.000, 0.192], [0.500, 0.500, 0.000], [0.500, 0.500, 0.500]]}

{"formula": "HoMgCu10", "functional": "GGA-PBE", "state": "relaxed", "total_magnetization_mub_per_cell": 0.00, "e_tot_ev_per_atom": -4.037, "crystal_system": "orthorhombic", "lattice_angstrom": [[4.080, 0.000, 0.000], [0.000, 4.964, 0.000], [0.000, 0.000, 8.586]], "species": ["Cu", "Cu", "Cu", "Cu", "Mg", "Cu", "Cu", "Cu", "Cu", "Ho", "Cu", "Cu"], "frac_coords": [[0.500, 0.248, 0.250], [0.500, 0.500, 0.000], [0.000, 0.500, 0.823], [0.500, 0.000, 0.500], [0.000, 0.500, 0.500], [0.000, 0.000, 0.342], [0.500, 0.752, 0.250], [0.000, 0.500, 0.177], [0.500, 0.248, 0.750], [0.000, 0.000, 0.000], [0.500, 0.752, 0.750], [0.000, 0.000, 0.658]]}

{"formula": "HoMg2Cu", "functional": "GGA-PBE", "state": "relaxed", "total_magnetization_mub_per_cell": 0.00, "e_tot_ev_per_atom": -3.047, "crystal_system": "cubic", "lattice_angstrom": [[-3.582, -1.779, 2.820], [0.984, -3.471, 3.307], [-0.114, 1.067, 4.775]], "species": ["Mg", "Ho", "Cu", "Mg"], "frac_coords": [[0.250, 0.250, 0.250], [0.500, 0.500, 0.500], [0.750, 0.750, 0.750], [0.000, 0.000, 0.000]]}

{"formula": "Ho3Mg2Cu", "functional": "GGA-PBE", "state": "relaxed", "total_magnetization_mub_per_cell": 0.00, "e_tot_ev_per_atom": -3.621, "crystal_system": "tetragonal", "lattice_angstrom": [[-0.859, -1.797, 2.979], [3.350, -1.255, 0.209], [3.033, 9.161, 6.401]], "species": ["Cu", "Mg", "Mg", "Ho", "Ho", "Ho"], "frac_coords": [[0.500, 0.500, 0.500], [0.500, 0.500, 0.176], [0.500, 0.500, 0.824], [0.000, 0.000, 0.359], [0.000, 0.000, 0.000], [0.000, 0.000, 0.641]]}

{"formula": "HoMgCu5", "functional": "GGA-PBE", "state": "relaxed", "total_magnetization_mub_per_cell": 0.00, "e_tot_ev_per_atom": -4.008, "crystal_system": "orthorhombic", "lattice_angstrom": [[5.027, 0.000, 0.000], [0.000, 8.214, 0.000], [0.000, 0.000, 10.429]], "species": ["Mg", "Cu", "Cu", "Ho", "Cu", "Cu", "Cu", "Cu", "Cu", "Ho", "Cu", "Cu", "Cu", "Ho", "Ho", "Cu", "Cu", "Cu", "Mg", "Mg", "Mg", "Cu", "Cu", "Cu", "Cu", "Cu", "Cu", "Cu"], "frac_coords": [[0.750, 0.137, 0.139], [0.750, 0.912, 0.517], [0.995, 0.932, 0.312], [0.250, 0.749, 0.560], [0.250, 0.448, 0.397], [0.750, 0.412, 0.983], [0.750, 0.052, 0.897], [0.250, 0.687, 0.244], [0.005, 0.568, 0.812], [0.250, 0.249, 0.940], [0.505, 0.932, 0.312], [0.750, 0.552, 0.603], [0.995, 0.432, 0.188], [0.750, 0.251, 0.440], [0.750, 0.751, 0.060], [0.250, 0.088, 0.483], [0.250, 0.948, 0.103], [0.750, 0.813, 0.744], [0.250, 0.363, 0.639], [0.750, 0.637, 0.361], [0.250, 0.863, 0.861], [0.505, 0.432, 0.188], [0.250, 0.187, 0.256], [0.750, 0.313, 0.756], [0.250, 0.588, 0.017], [0.495, 0.568, 0.812], [0.005, 0.068, 0.688], [0.495, 0.068, 0.688]]}

{"formula": "HoMgCu", "functional": "GGA-PBE", "state": "relaxed", "total_magnetization_mub_per_cell": 0.00, "e_tot_ev_per_atom": -3.459, "crystal_system": "cubic", "lattice_angstrom": [[4.636, 0.000, 0.000], [2.318, 4.015, 0.000], [2.318, 1.338, 3.785]], "species": ["Ho", "Cu", "Mg"], "frac_coords": [[0.000, 0.000, 0.000], [0.250, 0.250, 0.250], [0.500, 0.500, 0.500]]}

{"formula": "HoMg2Cu9", "functional": "GGA-PBE", "state": "relaxed", "total_magnetization_mub_per_cell": 0.00, "e_tot_ev_per_atom": -3.896, "crystal_system": "hexagonal", "lattice_angstrom": [[5.048, 0.000, 0.000], [-2.524, 4.372, 0.000], [0.000, 0.000, 15.961]], "species": ["Cu", "Ho", "Cu", "Mg", "Mg", "Cu", "Cu", "Cu", "Cu", "Cu", "Cu", "Cu", "Cu", "Cu", "Cu", "Mg", "Ho", "Cu", "Cu", "Cu", "Cu", "Cu", "Mg", "Cu"], "frac_coords": [[0.667, 0.333, 0.750], [0.333, 0.667, 0.750], [0.000, 0.000, 0.500], [0.667, 0.333, 0.467], [0.667, 0.333, 0.033], [0.337, 0.168, 0.877], [0.832, 0.168, 0.877], [0.832, 0.663, 0.623], [0.168, 0.337, 0.377], [0.832, 0.663, 0.877], [0.663, 0.832, 0.123], [0.337, 0.168, 0.623], [0.168, 0.337, 0.123], [0.168, 0.832, 0.377], [0.663, 0.832, 0.377], [0.333, 0.667, 0.967], [0.667, 0.333, 0.250], [0.000, 0.000, 0.750], [0.000, 0.000, 0.250], [0.168, 0.832, 0.123], [0.333, 0.667, 0.250], [0.832, 0.168, 0.623], [0.333, 0.667, 0.533], [0.000, 0.000, 0.000]]}

{"formula": "Ho4MgCu5", "functional": "GGA-PBE", "state": "relaxed", "total_magnetization_mub_per_cell": 0.00, "e_tot_ev_per_atom": -4.256, "crystal_system": "tetragonal", "lattice_angstrom": [[3.389, 0.000, 0.000], [0.000, 3.389, 0.000], [0.000, 0.000, 17.143]], "species": ["Ho", "Ho", "Ho", "Cu", "Cu", "Cu", "Cu", "Ho", "Cu", "Mg"], "frac_coords": [[0.000, 0.000, 0.603], [0.000, 0.000, 0.191], [0.000, 0.000, 0.809], [0.500, 0.500, 0.706], [0.500, 0.500, 0.294], [0.500, 0.500, 0.911], [0.500, 0.500, 0.500], [0.000, 0.000, 0.397], [0.500, 0.500, 0.089], [0.000, 0.000, 0.000]]}

{"formula": "HoMg4Cu2", "functional": "GGA-PBE", "state": "relaxed", "total_magnetization_mub_per_cell": 0.00, "e_tot_ev_per_atom": -2.826, "crystal_system": "orthorhombic", "lattice_angstrom": [[4.177, 0.000, 0.000], [0.000, 4.176, 0.000], [0.000, -2.088, 8.186]], "species": ["Mg", "Ho", "Cu", "Mg", "Cu", "Mg", "Mg"], "frac_coords": [[0.500, 0.174, 0.349], [0.000, 0.000, 0.000], [0.500, 0.428, 0.855], [0.000, 0.325, 0.651], [0.500, 0.572, 0.145], [0.000, 0.675, 0.349], [0.500, 0.826, 0.651]]}

{"formula": "HoMgCu", "functional": "GGA-PBE", "state": "relaxed", "total_magnetization_mub_per_cell": 0.00, "e_tot_ev_per_atom": -3.625, "crystal_system": "monoclinic", "lattice_angstrom": [[-1.156, 2.923, 2.285], [-4.374, -2.670, 4.506], [2.804, -0.023, 4.752]], "species": ["Mg", "Cu", "Ho", "Ho", "Cu", "Mg"], "frac_coords": [[0.825, 0.073, 0.277], [0.135, 0.335, 0.394], [0.424, 0.341, 0.812], [0.576, 0.659, 0.188], [0.865, 0.665, 0.606], [0.175, 0.927, 0.723]]}

{"formula": "Ho2MgCu2", "functional": "GGA-PBE", "state": "relaxed", "total_magnetization_mub_per_cell": 0.00, "e_tot_ev_per_atom": -4.041, "crystal_system": "tetragonal", "lattice_angstrom": [[-2.013, 2.607, 1.724], [-5.891, -4.749, 0.302], [2.414, -2.568, 6.703]], "species": ["Mg", "Cu", "Ho", "Ho", "Ho", "Cu", "Mg", "Ho", "Cu", "Cu"], "frac_coords": [[0.000, 0.500, 0.500], [0.000, 0.876, 0.376], [0.500, 0.331, 0.831], [0.500, 0.831, 0.669], [0.500, 0.169, 0.331], [0.000, 0.124, 0.624], [0.000, 0.000, 0.000], [0.500, 0.669, 0.169], [0.000, 0.376, 0.124], [0.000, 0.624, 0.876]]}

{"formula": "Ho3Mg2Cu3", "functional": "GGA-PBE", "state": "relaxed", "total_magnetization_mub_per_cell": 0.00, "e_tot_ev_per_atom": -3.826, "crystal_system": "orthorhombic", "lattice_angstrom": [[-1.482, 2.971, -0.546], [-4.476, -2.207, 0.138], [2.504, 1.203, 10.122]], "species": ["Cu", "Mg", "Cu", "Mg", "Ho", "Cu", "Ho", "Ho"], "frac_coords": [[0.880, 0.880, 0.760], [0.730, 0.230, 0.459], [0.120, 0.120, 0.240], [0.270, 0.770, 0.541], [0.380, 0.380, 0.760], [0.000, 0.500, 0.000], [0.500, 0.000, 0.000], [0.620, 0.620, 0.240]]}